Material: Ta2AgIr
Method: DFT, PBE
State: relaxed

Geometry as CIF:
```
data_Ta2AgIr
_chemical_formula_sum 'Ta2 Ag1 Ir1'
_cell_length_a 4.992
_cell_length_b 4.992
_cell_length_c 4.992
_cell_angle_alpha 132.27
_cell_angle_beta 132.20
_cell_angle_gamma 69.86
_symmetry_space_group_name_H-M 'P 1'
_symmetry_Int_Tables_number 1
_symmetry_space_group_name_Hall 'P 1'
loop_
_atom_site_label
_atom_site_type_symbol
_atom_site_fract_x
_atom_site_fract_y
_atom_site_fract_z
Ir1 Ir 0.250 0.750 0.500
Ag1 Ag 0.750 0.250 0.500
Ta1 Ta 0.000 0.000 0.000
Ta2 Ta 0.500 0.500 0.000
```

Summary:
Fermi-level density of states = 3.0 states/eV/cell
total DFT energy (no corrections) = -8.8828 eV per atom
crystal system = tetragonal
symmetry = No. 139
formation energy from the elements = -11 kJ/mol of formula units